An optimized crystal structure of AcAl2Zn4In, computed with PBE. Values from VASP.

Cell and atoms, written as Quantum ESPRESSO input:
```
&SYSTEM
  ibrav = 0, nat = 8, ntyp = 4
/
ATOMIC_SPECIES
Ac 227.00 Ac.upf
Al 26.98 Al.upf
Zn 65.41 Zn.upf
In 114.82 In.upf
CELL_PARAMETERS angstrom
2.241 1.294 9.687
-2.241 1.294 9.687
0.000 -2.588 9.687
ATOMIC_POSITIONS crystal
Ac 0.000 0.000 0.000
Al 0.249 0.249 0.249
Al 0.751 0.751 0.751
Zn 0.118 0.118 0.118
Zn 0.403 0.403 0.403
Zn 0.597 0.597 0.597
Zn 0.882 0.882 0.882
In 0.500 0.500 0.500
```

Results
DFT total energy = -2.5208 eV per atom
Size of the total moment = 0.0 μB per cell
DOS at the Fermi energy = 0.40 states/eV per atom
Crystal system = trigonal